The following is a PBE-GGA calculation of crystalline NaAlSN2 at its relaxed geometry, from the Alexandria database.

POSCAR file:
```
NaAlSN2
1.0
4.252 0.000 0.000
0.000 4.252 0.000
0.000 0.000 5.293
Na Al S N
1 1 1 2
Direct
0.000 0.000 0.000
0.500 0.500 0.500
0.000 0.000 0.500
0.000 0.500 0.000
0.500 0.000 0.000
```

Offset from the most stable computed form in eV/atom: 1.460
Spin magnetization in μB per formula unit: 4.9
Raw formation energy in eV per atom: 1.861
Electronic total energy in eV per atom: -3.307

---

The following is a PBE-GGA calculation of crystalline ZnCo2Ir at its relaxed geometry, from the Alexandria database.

POSCAR file:
```
ZnCo2Ir
1.0
4.338 -1.340 0.000
4.338 1.340 0.000
-0.844 0.000 4.371
Zn Co Ir
1 2 1
Direct
0.000 0.000 0.000
0.246 0.246 0.745
0.754 0.754 0.255
0.500 0.500 0.500
```

Calculated formation energy in eV/atom: 0.05
Spin magnetization in μB per formula unit: 3.5
Electronic total energy in eV per atom: -6.038

---

The following is a PBE-GGA calculation of crystalline Tm3NpP4 at its relaxed geometry, from the Alexandria database.

POSCAR file:
```
Tm3NpP4
1.0
3.950 -5.573 0.000
3.950 5.573 0.000
0.000 0.000 3.942
Tm Np P
3 1 4
Direct
0.000 0.000 0.000
0.000 0.500 0.500
0.500 0.000 0.500
0.500 0.500 0.000
0.251 0.251 0.500
0.252 0.748 0.000
0.748 0.252 0.000
0.749 0.749 0.500
```

Calculated formation energy in eV/atom: -1.41
Spin magnetization in μB per formula unit: 3.6
Electronic total energy in eV per atom: -7.413

---

The following is a PBE-GGA calculation of crystalline TaBPS2 at its relaxed geometry, from the Alexandria database.

POSCAR file:
```
TaBPS2
1.0
4.750 0.000 0.000
0.000 4.750 0.000
0.000 0.000 4.898
Ta B P S
1 1 1 2
Direct
0.000 0.000 0.000
0.500 0.500 0.500
0.000 0.000 0.500
0.000 0.500 0.000
0.500 0.000 0.000
```

Offset from the most stable computed form in eV/atom: 0.196
Spin magnetization in μB per formula unit: 0.0
Raw formation energy in eV per atom: 0.832
Electronic total energy in eV per atom: -5.607

---

The following is a PBE-GGA calculation of crystalline Hf7Zr12Al at its relaxed geometry, from the Alexandria database.

POSCAR file:
```
Hf7Zr12Al
1.0
5.437 3.139 4.479
-5.437 3.139 4.479
0.000 -6.278 4.479
Hf Zr Al
7 12 1
Direct
0.000 0.000 0.000
0.119 0.442 0.352
0.352 0.119 0.442
0.442 0.352 0.119
0.558 0.648 0.881
0.648 0.881 0.558
0.881 0.558 0.648
0.006 0.866 0.356
0.134 0.644 0.994
0.232 0.380 0.764
0.236 0.768 0.620
0.356 0.006 0.866
0.380 0.764 0.232
0.620 0.236 0.768
0.644 0.994 0.134
0.764 0.232 0.380
0.768 0.620 0.236
0.866 0.356 0.006
0.994 0.134 0.644
0.500 0.500 0.500
```

Calculated formation energy in eV/atom: 0.16
Spin magnetization in μB per formula unit: 0.0
Electronic total energy in eV per atom: -8.643

---

The following is a PBE-GGA calculation of crystalline TcTe2As at its relaxed geometry, from the Alexandria database.

POSCAR file:
```
TcTe2As
1.0
1.806 1.043 9.177
-1.806 1.043 9.177
0.000 -2.086 9.177
Tc Te As
1 2 1
Direct
0.000 0.000 0.000
0.396 0.396 0.396
0.604 0.604 0.604
0.500 0.500 0.500
```

Spin magnetization in μB per formula unit: 1.5
Raw formation energy in eV per atom: 0.336
Electronic total energy in eV per atom: -4.988

---

The following is a PBE-GGA calculation of crystalline YbSmZn2 at its relaxed geometry, from the Alexandria database.

POSCAR file:
```
YbSmZn2
1.0
0.000 3.618 3.618
3.618 0.000 3.618
3.618 3.618 0.000
Yb Sm Zn
1 1 2
Direct
0.000 0.000 0.000
0.500 0.500 0.500
0.250 0.250 0.250
0.750 0.750 0.750
```

Calculated formation energy in eV/atom: -0.35
Spin magnetization in μB per formula unit: 0.2
Electronic total energy in eV per atom: -2.549

---

The following is a PBE-GGA calculation of crystalline K3PaAg2S6 at its relaxed geometry, from the Alexandria database.

POSCAR file:
```
K3PaAg2S6
1.0
3.290 -6.201 0.000
3.290 6.201 0.000
-2.129 0.000 7.397
K Pa Ag S
3 1 2 6
Direct
0.000 0.000 0.000
0.322 0.678 0.000
0.678 0.322 0.000
0.500 0.500 0.500
0.150 0.850 0.500
0.850 0.150 0.500
0.097 0.409 0.307
0.264 0.264 0.723
0.409 0.097 0.307
0.591 0.903 0.693
0.736 0.736 0.277
0.903 0.591 0.693
```

Spin magnetization in μB per formula unit: 0.0
Raw formation energy in eV per atom: -0.911
Electronic total energy in eV per atom: -4.515

---

Question: Look up the electronic total energy of the fifth one.
Answer: -8.643 eV per atom